Record 1
Here is a geometry-optimized PmCu2AgF8 structure from Alexandria. Energies are from GGA-PBE.

POSCAR file:
```
PmCu2AgF8
1.0
5.636 0.000 0.000
0.000 5.636 0.000
-2.818 -2.818 5.319
Pm Cu Ag F
1 2 1 8
Direct
0.750 0.250 0.500
0.500 0.500 0.000
0.250 0.750 0.500
0.000 0.000 0.000
0.688 0.858 0.124
0.436 0.266 0.124
0.585 0.640 0.603
0.019 0.964 0.603
0.036 0.415 0.397
0.360 0.981 0.397
0.142 0.564 0.876
0.734 0.312 0.876
```

**Symmetry**: I-4 (82)
**Size of the total moment**: 2.030 μB per cell
**DFT total energy**: -4.81 eV/atom


Record 2
Here is a geometry-optimized PrCu2AgF8 structure from Alexandria. Energies are from GGA-PBE.

POSCAR file:
```
PrCu2AgF8
1.0
5.677 0.000 0.000
0.000 5.677 0.000
-2.839 -2.839 5.346
Pr Cu Ag F
1 2 1 8
Direct
0.750 0.250 0.500
0.500 0.500 0.000
0.250 0.750 0.500
0.000 0.000 0.000
0.685 0.854 0.119
0.434 0.265 0.119
0.585 0.646 0.601
0.016 0.955 0.601
0.045 0.415 0.399
0.354 0.984 0.399
0.146 0.566 0.881
0.735 0.315 0.881
```

**Symmetry**: I-4 (82)
**Size of the total moment**: 2.013 μB per cell
**DFT total energy**: -4.80 eV/atom


Record 3
Here is a geometry-optimized CuAgPtF6 structure from Alexandria. Energies are from GGA-PBE.

POSCAR file:
```
CuAgPtF6
1.0
5.058 0.000 0.000
0.000 5.058 0.000
0.000 0.000 10.157
Cu Ag Pt F
2 2 2 12
Direct
0.500 0.500 0.174
0.000 0.000 0.674
0.500 0.500 0.499
0.000 0.000 0.999
0.500 0.500 0.832
0.000 0.000 0.332
0.175 0.825 0.490
0.825 0.175 0.490
0.325 0.325 0.990
0.675 0.675 0.990
0.204 0.796 0.191
0.796 0.204 0.191
0.296 0.296 0.691
0.704 0.704 0.691
0.785 0.215 0.817
0.215 0.785 0.817
0.715 0.715 0.317
0.285 0.285 0.317
```

**Symmetry**: P4_2nm (102)
**Size of the total moment**: 0.116 μB per cell
**DFT total energy**: -3.95 eV/atom


Record 4
Here is a geometry-optimized RbCuAg2F8 structure from Alexandria. Energies are from GGA-PBE.

POSCAR file:
```
RbCuAg2F8
1.0
-0.294 3.078 3.890
-1.034 -3.643 3.412
7.623 -1.478 1.729
Rb Cu Ag F
1 1 2 8
Direct
0.000 0.000 0.500
0.000 0.000 0.000
0.467 0.482 0.793
0.533 0.518 0.207
0.191 0.792 0.191
0.708 0.758 0.024
0.839 0.222 0.171
0.809 0.208 0.809
0.292 0.242 0.976
0.161 0.778 0.829
0.595 0.702 0.592
0.405 0.298 0.408
```

**Symmetry**: P-1 (2)
**Size of the total moment**: 0.012 μB per cell
**DFT total energy**: -3.65 eV/atom


Record 5
Here is a geometry-optimized Rb2CuAgF6 structure from Alexandria. Energies are from GGA-PBE.

POSCAR file:
```
Rb2CuAgF6
1.0
-4.566 -2.359 -3.191
3.627 -4.455 -1.897
-1.611 -5.780 0.844
Cu Rb Ag F
1 2 1 6
Direct
0.500 0.500 0.000
0.750 0.250 0.500
0.250 0.750 0.500
0.000 0.000 0.000
0.266 0.266 0.468
0.734 0.734 0.532
0.266 0.266 0.000
0.734 0.734 0.000
0.734 0.266 0.000
0.266 0.734 0.000
```

**Symmetry**: I4/mmm (139)
**Size of the total moment**: 0.000 μB per cell
**DFT total energy**: -4.01 eV/atom


Record 6
Here is a geometry-optimized RbCuAgF4 structure from Alexandria. Energies are from GGA-PBE.

POSCAR file:
```
RbCuAgF4
1.0
-1.085 -3.432 5.735
3.982 -5.230 1.620
4.368 0.538 5.145
Rb Cu Ag F
1 1 1 4
Direct
0.750 0.750 0.750
0.250 0.250 0.250
0.500 0.500 0.500
0.366 0.366 0.903
0.366 0.366 0.366
0.366 0.903 0.366
0.903 0.366 0.366
```

**Symmetry**: F-43m (216)
**Size of the total moment**: 1.006 μB per cell
**DFT total energy**: -3.71 eV/atom


Record 7
Here is a geometry-optimized Rb3CuAg2F6 structure from Alexandria. Energies are from GGA-PBE.

POSCAR file:
```
Rb3CuAg2F6
1.0
-0.252 -6.084 -1.058
1.616 3.862 -4.546
6.856 -0.617 1.913
Rb Cu Ag F
3 1 2 6
Direct
0.333 0.667 0.623
0.667 0.333 0.377
0.000 0.000 0.000
0.000 0.000 0.500
0.667 0.333 0.869
0.333 0.667 0.131
0.688 0.844 0.321
0.156 0.312 0.321
0.156 0.844 0.321
0.844 0.688 0.679
0.312 0.156 0.679
0.844 0.156 0.679
```

**Symmetry**: P-3m1 (164)
**Size of the total moment**: 0.556 μB per cell
**DFT total energy**: -3.72 eV/atom


Record 8
Here is a geometry-optimized Rb2Cu3AgF12 structure from Alexandria. Energies are from GGA-PBE.

POSCAR file:
```
Rb2Cu3AgF12
1.0
-6.271 3.839 -0.676
-6.219 -3.440 -1.999
-5.429 -0.932 4.916
Rb Cu Ag F
2 3 1 12
Direct
0.619 0.619 0.619
0.381 0.381 0.381
0.500 0.000 0.000
0.000 0.500 0.000
0.000 0.000 0.500
0.000 0.000 0.000
0.307 0.307 0.919
0.912 0.912 0.359
0.359 0.912 0.912
0.919 0.307 0.307
0.912 0.359 0.912
0.307 0.919 0.307
0.693 0.693 0.081
0.088 0.088 0.641
0.641 0.088 0.088
0.081 0.693 0.693
0.088 0.641 0.088
0.693 0.081 0.693
```

**Symmetry**: R-3m (166)
**Size of the total moment**: 1.806 μB per cell
**DFT total energy**: -3.94 eV/atom


Record 9
Here is a geometry-optimized Rb2CuAg2F6 structure from Alexandria. Energies are from GGA-PBE.

POSCAR file:
```
Rb2CuAg2F6
1.0
6.613 0.000 0.000
3.307 5.727 0.000
3.307 1.909 5.595
Rb Cu Ag F
2 1 2 6
Direct
0.786 0.786 0.643
0.214 0.214 0.357
0.000 0.000 0.000
0.416 0.416 0.752
0.584 0.584 0.248
0.783 0.783 0.229
0.204 0.783 0.229
0.783 0.204 0.229
0.217 0.796 0.771
0.796 0.217 0.771
0.217 0.217 0.771
```

**Symmetry**: R-3m (166)
**Size of the total moment**: 1.000 μB per cell
**DFT total energy**: -3.79 eV/atom


Record 10
Here is a geometry-optimized Rb3CuAg2F9 structure from Alexandria. Energies are from GGA-PBE.

POSCAR file:
```
Rb3CuAg2F9
1.0
6.121 0.000 0.000
-3.060 5.301 0.000
0.000 0.000 7.517
Rb Cu Ag F
3 1 2 9
Direct
0.333 0.667 0.672
0.000 0.000 0.000
0.667 0.333 0.328
0.000 0.000 0.500
0.333 0.667 0.180
0.667 0.333 0.820
0.845 0.155 0.652
0.845 0.690 0.652
0.310 0.155 0.652
0.690 0.845 0.348
0.155 0.310 0.348
0.155 0.845 0.348
0.500 0.000 0.000
0.000 0.500 0.000
0.500 0.500 0.000
```

**Symmetry**: P-3m1 (164)
**Size of the total moment**: 0.435 μB per cell
**DFT total energy**: -3.92 eV/atom


Record 11
Here is a geometry-optimized Rb3Cu2AgF9 structure from Alexandria. Energies are from GGA-PBE.

POSCAR file:
```
Rb3Cu2AgF9
1.0
-2.692 5.051 1.702
-3.155 -4.315 -2.661
-1.452 -2.984 6.559
Rb Cu Ag F
3 2 1 9
Direct
0.333 0.667 0.663
0.000 0.000 0.000
0.667 0.333 0.337
0.333 0.667 0.155
0.667 0.333 0.845
0.000 0.000 0.500
0.823 0.177 0.685
0.823 0.647 0.685
0.353 0.177 0.685
0.647 0.823 0.315
0.177 0.353 0.315
0.177 0.823 0.315
0.500 0.000 0.000
0.000 0.500 0.000
0.500 0.500 0.000
```

**Symmetry**: P-3m1 (164)
**Size of the total moment**: 0.017 μB per cell
**DFT total energy**: -4.07 eV/atom


Record 12
Here is a geometry-optimized Cu2AgRhF8 structure from Alexandria. Energies are from GGA-PBE.

POSCAR file:
```
Cu2AgRhF8
1.0
5.204 0.000 0.000
0.000 5.204 0.000
-2.602 -2.602 5.511
Cu Ag Rh F
2 1 1 8
Direct
0.500 0.500 0.000
0.250 0.750 0.500
0.750 0.250 0.500
0.000 0.000 0.000
0.792 0.853 0.162
0.370 0.309 0.162
0.608 0.678 0.711
0.103 0.033 0.711
0.967 0.392 0.289
0.322 0.897 0.289
0.147 0.630 0.838
0.691 0.208 0.838
```

**Symmetry**: I-4 (82)
**Size of the total moment**: 0.064 μB per cell
**DFT total energy**: -4.01 eV/atom